This record from the Alexandria database describes a relaxed Ca2AlF crystal. The functional is PBE.

- formation energy (no corrections) (kcal/mol of atoms) = -30.62
- calculated volume (Å³ per cell) = 401
- ΔE to the lowest computed polymorph (eV per atom) = 0.000
- magnetic moment (μB/f.u.) = 0.0
- E (Ha/atom) = -0.1371

Cell and atoms, written as CIF:
```
data_Ca2AlF
_chemical_formula_sum 'Ca8 Al4 F4'
_symmetry_space_group_name_H-M 'I -4 2 d'
_symmetry_Int_Tables_number 122
_symmetry_space_group_name_Hall 'I -4 2bw'
_cell_length_a 7.131
_cell_length_b 7.131
_cell_length_c 7.893
_cell_angle_alpha 90.00
_cell_angle_beta 90.00
_cell_angle_gamma 90.00
loop_
_atom_site_label
_atom_site_fract_x
_atom_site_fract_y
_atom_site_fract_z
Ca1 0.158 0.750 0.125
Al1 0.000 0.000 0.500
F1 0.000 0.000 0.000
```